(1)
Material: As2PtCl
Method: DFT, PBE
State: optimized geometry

abc: 6.8942 6.8942 6.8942
angles: 33.04 33.04 33.04
With the nearest neighbours (Å) after each atom.
Element x y z (fractional)
As: 0.2243 0.2243 0.2243  3 Pt 2.53
As: 0.7757 0.7757 0.7757  3 Pt 2.53
Pt: 0.5000 0.5000 0.5000  6 As 2.53
Cl: 0.0000 0.0000 0.0000  6 As 3.11

Calculated values
Energy above the most stable polymorph in this dataset = 11.4 kJ/mol of atoms
Formation energy from raw total energies = -0.236 eV/atom
Space-group type = No. 166
E = -4.533 eV/atom

(2)
Material: ScCrPb2
Method: DFT, PBE
State: optimized geometry

abc: 4.9135 4.9135 6.0441
angles: 102.25 102.25 42.25
With the nearest neighbours (Å) after each atom.
Element x y z (fractional)
Sc: 0.0000 0.0000 0.0000  6 Pb 3.03-3.09
Cr: 0.5000 0.5000 0.5000  6 Pb 2.94-3.01
Pb: 0.2430 0.2430 0.7334  3 Cr 2.94-3.01, 3 Sc 3.03-3.09
Pb: 0.7570 0.7570 0.2666  3 Cr 2.94-3.01, 3 Sc 3.03-3.09

Calculated values
Energy relative to the elements = 16.4 kJ per mole of atoms
Energy above the most stable polymorph in this dataset = 6.6 kJ/mol of atoms
Space-group type = No. 12
E = -5.673 eV/atom

(3)
Material: Pm4NdBi5
Method: DFT, PBE
State: optimized geometry

abc: 16.5211 16.5211 16.5211
angles: 164.05 164.05 22.63
With the nearest neighbours (Å) after each atom.
Element x y z (fractional)
Pm: 0.1001 0.1001 0.0000  6 Bi 3.24
Pm: 0.2998 0.2998 0.0000  6 Bi 3.23-3.24
Pm: 0.7002 0.7002 0.0000  6 Bi 3.23-3.24
Pm: 0.8999 0.8999 0.0000  6 Bi 3.24
Nd: 0.5000 0.5000 0.0000  6 Bi 3.24-3.25
Bi: 0.0000 0.0000 0.0000  4 Nd 3.24, 2 Pm 3.24
Bi: 0.2000 0.2000 0.0000  6 Pm 3.23-3.24
Bi: 0.3996 0.3996 0.0000  5 Pm 3.23-3.24, 1 Nd 3.25
Bi: 0.6004 0.6004 0.0000  5 Pm 3.23-3.24, 1 Nd 3.25
Bi: 0.8000 0.8000 0.0000  6 Pm 3.23-3.24

Calculated values
Energy relative to the elements = -91.1 kJ per mole of atoms
Space-group type = No. 139
E = -5.262 eV/atom

Number 1: calculated density 7.28 Mg/m³, density of states at the Fermi level 1.9 states/eV per cell. Number 2: calculated density 8.89 Mg/m³, density of states at the Fermi level 2.9 states/eV per cell. Number 3: calculated density 8.63 Mg/m³, density of states at the Fermi level 1.2 states/eV per cell.